1.
! LiRuAu2, relaxed, DFT PBE-GGA; values from VASP
&SYSTEM
  ibrav = 0, nat = 4, ntyp = 3
/
ATOMIC_SPECIES
Ru 101.07 Ru.upf
Li 6.94 Li.upf
Au 196.97 Au.upf
ATOMIC_POSITIONS angstrom
Ru -5.027 -0.043 -3.769
Li -2.103 1.245 -1.414
Au -2.913 -1.283 -2.348
Au -0.011 -0.004 -0.006
CELL_PARAMETERS angstrom
-1.282 3.777 -0.473
-0.162 -0.390 -2.671
-5.685 -2.186 -2.038
! distance to the lowest polymorph of the same formula	127.1	meV/atom
! spin magnetization	0.00	μB/f.u.

=====

2.
! LiRuAu2, relaxed, DFT PBE-GGA; values from VASP
&SYSTEM
  ibrav = 0, nat = 8, ntyp = 3
/
ATOMIC_SPECIES
Au 196.97 Au.upf
Li 6.94 Li.upf
Ru 101.07 Ru.upf
ATOMIC_POSITIONS angstrom
Au 2.909 0.975 2.303
Au 4.875 4.859 6.908
Li 1.950 1.950 0.000
Ru 3.900 1.950 4.605
Au 2.925 2.941 6.908
Au 0.991 2.925 2.303
Ru 0.000 0.000 0.000
Li 1.950 3.900 4.605
CELL_PARAMETERS angstrom
3.900 0.000 0.000
0.000 3.900 0.000
1.950 1.950 9.211
! distance to the lowest polymorph of the same formula	537.0	meV/atom
! spin magnetization	1.74	μB/f.u.

=====

3.
! LiRu4Au, relaxed, DFT PBE-GGA; values from VASP
&SYSTEM
  ibrav = 0, nat = 6, ntyp = 3
/
ATOMIC_SPECIES
Ru 101.07 Ru.upf
Li 6.94 Li.upf
Au 196.97 Au.upf
ATOMIC_POSITIONS angstrom
Ru -4.673 -0.327 0.420
Ru -6.621 -1.914 0.901
Li 0.000 0.000 0.000
Au -9.344 -0.654 0.840
Ru -6.718 0.512 1.708
Ru -6.906 -0.014 -0.789
CELL_PARAMETERS angstrom
-4.092 1.678 2.577
-4.468 0.626 -2.419
-3.898 -3.176 0.962
! spin magnetization	2.21	μB/f.u.
! raw total energy	-6.51	eV/atom

=====

4.
! LiRuAu2, relaxed, DFT PBE-GGA; values from VASP
&SYSTEM
  ibrav = 0, nat = 4, ntyp = 3
/
ATOMIC_SPECIES
Au 196.97 Au.upf
Li 6.94 Li.upf
Ru 101.07 Ru.upf
ATOMIC_POSITIONS angstrom
Au 0.000 0.000 0.000
Au 2.676 2.264 0.000
Li 2.318 -0.025 1.504
Ru 0.367 2.280 1.516
CELL_PARAMETERS angstrom
4.627 -0.042 -0.013
0.727 4.570 0.013
-2.669 -2.274 3.020
! distance to the lowest polymorph of the same formula	195.1	meV/atom
! spin magnetization	1.16	μB/f.u.

=====

5.
! Li2RuAu, relaxed, DFT PBE-GGA; values from VASP
&SYSTEM
  ibrav = 0, nat = 4, ntyp = 3
/
ATOMIC_SPECIES
Au 196.97 Au.upf
Li 6.94 Li.upf
Ru 101.07 Ru.upf
ATOMIC_POSITIONS angstrom
Au -0.678 2.002 1.766
Li 0.000 0.000 0.000
Ru -2.193 3.312 -0.125
Li 0.439 2.652 -0.602
CELL_PARAMETERS angstrom
-1.076 3.962 -2.494
-3.310 2.662 2.243
4.146 -1.970 1.415
! distance to the lowest polymorph of the same formula	176.0	meV/atom
! spin magnetization	1.01	μB/f.u.

=====

6.
! Li2RuAu, relaxed, DFT PBE-GGA; values from VASP
&SYSTEM
  ibrav = 0, nat = 4, ntyp = 3
/
ATOMIC_SPECIES
Au 196.97 Au.upf
Li 6.94 Li.upf
Ru 101.07 Ru.upf
ATOMIC_POSITIONS angstrom
Au 20.086 3.041 1.783
Li 26.686 4.041 2.368
Li 13.485 2.042 1.197
Ru 6.695 1.014 0.594
CELL_PARAMETERS angstrom
9.201 0.006 0.003
8.790 2.718 0.003
8.790 1.331 2.370
! distance to the lowest polymorph of the same formula	39.8	meV/atom
! spin magnetization	0.30	μB/f.u.

=====

7.
! LiRuAu3, relaxed, DFT PBE-GGA; values from VASP
&SYSTEM
  ibrav = 0, nat = 5, ntyp = 3
/
ATOMIC_SPECIES
Au 196.97 Au.upf
Ru 101.07 Ru.upf
Li 6.94 Li.upf
ATOMIC_POSITIONS angstrom
Au -0.861 1.678 1.127
Au -0.815 -1.409 1.475
Ru -3.526 0.109 1.427
Li 0.000 0.000 0.000
Au -1.850 -0.160 -1.175
CELL_PARAMETERS angstrom
-3.699 -0.319 -2.350
-1.631 -2.819 2.950
-1.722 3.356 2.255
! distance to the lowest polymorph of the same formula	0.0	meV/atom
! spin magnetization	1.70	μB/f.u.

=====

8.
! LiRu2Au, relaxed, DFT PBE-GGA; values from VASP
&SYSTEM
  ibrav = 0, nat = 4, ntyp = 3
/
ATOMIC_SPECIES
Au 196.97 Au.upf
Li 6.94 Li.upf
Ru 101.07 Ru.upf
ATOMIC_POSITIONS angstrom
Au 2.439 0.710 1.117
Li 7.318 2.129 3.351
Ru 9.661 2.810 4.413
Ru 4.975 1.447 2.290
CELL_PARAMETERS angstrom
4.949 0.001 -0.003
4.177 2.654 -0.003
0.632 0.184 4.475
! distance to the lowest polymorph of the same formula	148.8	meV/atom
! spin magnetization	0.00	μB/f.u.